Run A
Material: V4CrFe2
Method: DFT, GGA-PBE
State: optimized geometry

Lattice parameters (Å, degrees): 4.915 4.915 4.915 110.52 108.95 108.95
Fractional positions:
1 Cr 0.000 0.000 0.000
2 V 0.500 0.500 0.500
3 Fe 0.500 0.000 0.500
4 V 0.000 0.000 0.500
5 Fe 0.500 0.500 0.000
6 V 0.500 0.000 0.000
7 V 0.000 0.500 0.000

=====

Run B
Material: V4CrFe2
Method: DFT, GGA-PBE
State: optimized geometry

Lattice parameters (Å, degrees): 4.184 4.184 6.614 71.56 71.56 90.00
Each line ends with the local moment (μB).
Fractional positions:
1 V 0.199 0.199 0.602  -0.66
2 V 0.801 0.801 0.398  -0.66
3 V 0.500 0.000 0.000  -0.42
4 Fe 0.382 0.382 0.236  1.54
5 V 0.000 0.500 0.000  -0.42
6 Fe 0.618 0.618 0.764  1.54
7 Cr 0.000 0.000 0.000  0.42

=====

It is run A that is the most stable of them.

=====

Run A
Material: V6CrFe
Method: DFT, GGA-PBE
State: optimized geometry

Lattice parameters (Å, degrees): 4.108 5.111 5.111 109.86 90.00 90.00
Fractional positions:
1 V 0.500 0.000 0.500
2 V 0.000 0.251 0.749
3 V 0.500 0.500 0.000
4 V 0.000 0.251 0.251
5 V 0.000 0.749 0.251
6 Cr 0.500 0.500 0.500
7 Fe 0.500 0.000 0.000
8 V 0.000 0.749 0.749

=====

Run B
Material: V6CrFe
Method: DFT, GGA-PBE
State: optimized geometry

Lattice parameters (Å, degrees): 4.859 4.803 6.469 48.46 66.85 84.26
Fractional positions:
1 V 0.628 0.881 0.873
2 V 0.873 0.619 0.628
3 V 0.749 0.251 0.251
4 Cr 0.500 0.500 0.500
5 V 0.251 0.749 0.749
6 V 0.372 0.119 0.127
7 Fe 0.000 0.000 0.000
8 V 0.127 0.381 0.372

=====

It is run A that is the most stable of them.